P:
VASP calculation (GGA-PBE) on crystalline Pr8Sm2Tm3 at its relaxed geometry.

As for the crystal system: monoclinic. The value obtained for the theoretical density is 7.10 g cm⁻³.

Cell: 13.562 11.821 6.168 Å, 90.00 113.68 90.00°
Space group C2/m (No. 12)
Inequivalent atoms, fractional coordinates:
Pr (0.086, 0.000, 0.258) [4 per cell]
Pr (0.138, 0.500, 0.612) [4 per cell]
Pr (0.160, 0.262, 0.153) [8 per cell]
Sm (0.187, 0.000, 0.834) [4 per cell]
Tm (0.000, 0.233, 0.500) [4 per cell]
Tm (0.000, 0.500, 0.000) [2 per cell]

=====

Q:
VASP calculation (GGA-PBE) on crystalline Pr8Sm2Tm3 at its relaxed geometry.

As for the crystal system: monoclinic. The value obtained for the theoretical density is 6.98 g cm⁻³.

Cell: 20.682 7.753 5.740 Å, 90.00 90.02 90.00°
Space group C2/m (No. 12)
Inequivalent atoms, fractional coordinates:
Pr (0.104, 0.203, 0.000) [8 per cell]
Pr (0.129, 0.500, 0.500) [4 per cell]
Pr (0.173, 0.000, 0.501) [4 per cell]
Sm (0.239, 0.500, 0.999) [4 per cell]
Tm (0.000, 0.215, 0.500) [4 per cell]
Tm (0.000, 0.500, 0.000) [2 per cell]

=====

What should be chosen as the most stable of them? Choose P.

=====

P:
VASP calculation (GGA-PBE) on crystalline Pr3Sm6Tm at its relaxed geometry.

As for the crystal system: monoclinic. The value obtained for the theoretical density is 7.14 g cm⁻³.

Cell: 11.632 6.807 9.238 Å, 90.00 108.20 90.00°
Space group C2/m (No. 12)
Inequivalent atoms, fractional coordinates:
Pr (0.000, 0.000, 0.000) [2 per cell]
Pr (0.074, 0.000, 0.670) [4 per cell]
Sm (0.125, 0.500, 0.918) [4 per cell]
Sm (0.189, 0.242, 0.303) [8 per cell]
Tm (0.000, 0.500, 0.500) [2 per cell]

=====

Q:
VASP calculation (GGA-PBE) on crystalline Pr3Sm6Tm at its relaxed geometry.

As for the crystal system: orthorhombic. The value obtained for the theoretical density is 7.20 g cm⁻³.

Cell: 11.017 19.281 6.486 Å, 90.00 90.00 90.00°
Space group Cmc2_1 (No. 36)
Inequivalent atoms, fractional coordinates:
Pr (0.000, 0.114, 0.000) [4 per cell]
Pr (0.174, 0.385, 0.612) [8 per cell]
Sm (0.000, 0.226, 0.426) [4 per cell]
Sm (0.000, 0.464, 0.210) [4 per cell]
Sm (0.170, 0.044, 0.520) [8 per cell]
Sm (0.234, 0.209, 0.709) [8 per cell]
Tm (0.000, 0.308, 0.958) [4 per cell]

=====

What should be chosen as the most stable of them? Choose Q.